3
Lattice="3.5062 0.0000 0.0000 -1.7531 3.0365 0.0000 0.0000 0.0000 5.2388" Properties=species:S:1:pos:R:3 comment="KGaC, relaxed, DFT GGA-PBE" ef_ev_per_atom=0.464 mass_density_g_cm3=3.6 space_group="P-6m2 (187)" pbc="T T T"
K 0.0000 0.0000 0.0000
Ga 1.7531 1.0122 2.6194
C 0.0000 2.0243 2.6194